[1]
A relaxed Sc2AlMoH crystal. Source: the Alexandria database, functional GGA-PBE.

```
Sc2AlMoH
1.0
4.513 0.000 0.000
0.000 4.513 0.000
0.000 0.000 3.771
Mo H Al Sc
1 1 1 2
direct
0.000 0.000 0.500
0.000 0.000 0.000
0.500 0.500 0.500
0.000 0.500 0.000
0.500 0.000 0.000
```

[2]
A relaxed Ho2ErRh3 crystal. Source: the Alexandria database, functional GGA-PBE.

```
Ho2ErRh3
1.0
4.818 0.000 0.000
-2.409 4.172 0.000
0.000 0.000 11.771
Rh Er Ho
6 2 4
direct
0.000 0.000 0.251
0.667 0.333 0.084
0.333 0.667 0.417
0.333 0.667 0.916
0.000 0.000 0.749
0.667 0.333 0.583
0.333 0.667 0.666
0.667 0.333 0.334
0.333 0.667 0.167
0.667 0.333 0.833
0.000 0.000 0.000
0.000 0.000 0.500
```

Values from the calculation:
- energy relative to the elements (eV per formula unit) = -5.51

[3]
A relaxed KGa4Pd6 crystal. Source: the Alexandria database, functional GGA-PBE.

```
KGa4Pd6
1.0
-2.206 -1.597 2.856
-1.005 -6.072 -4.170
5.770 0.388 4.672
Pd Ga K
6 4 1
direct
0.500 0.202 0.798
0.000 0.533 0.467
0.000 0.934 0.467
0.500 0.596 0.798
0.500 0.202 0.404
0.000 0.533 0.066
0.500 0.404 0.202
0.500 0.798 0.596
0.500 0.798 0.202
0.000 0.333 0.667
0.000 0.000 0.000
```

Values from the calculation:
- energy relative to the elements (eV per formula unit) = -6.27

[4]
A relaxed SmEr2Cu2 crystal. Source: the Alexandria database, functional GGA-PBE.

```
SmEr2Cu2
1.0
-0.429 3.437 -0.517
-0.269 -0.791 -5.033
-12.604 -3.179 1.172
Cu Sm Er
4 2 4
direct
0.641 0.750 0.281
0.544 0.250 0.087
0.359 0.250 0.719
0.456 0.750 0.913
0.858 0.750 0.717
0.142 0.250 0.283
0.953 0.250 0.907
0.047 0.750 0.093
0.769 0.250 0.539
0.231 0.750 0.461
```

Values from the calculation:
- energy relative to the elements (eV per formula unit) = -0.80

| no. | raw total energy (eV/atom) | volume (Å³/cell) | density (Mg/m³) |
| --- | --- | --- | --- |
| 1 | -6.392 | 77 | 4.62 |
| 2 | -6.880 | 237 | 11.31 |
| 3 | -4.603 | 189 | 8.41 |
| 4 | -4.568 | 231 | 8.80 |